1.
! HgIO4 | Alexandria | PBE | optimized geometry; values from VASP
! **D(E_F)**: 4.71 states/eV/cell
! **Spin magnetization**: 0.00 μB/cell
! **E above lowest polymorph**: 0 meV/atom
! **Formation energy without anion corrections**: -0.17 eV/atom
! **Space group**: P2_1/c
&SYSTEM
  ibrav = 0, nat = 24, ntyp = 3
/
ATOMIC_SPECIES
Hg 200.59 Hg.upf
I 126.90 I.upf
O 16.00 O.upf
ATOMIC_POSITIONS crystal
Hg 0.153 0.239 0.385
Hg 0.153 0.261 0.885
Hg 0.847 0.739 0.115
Hg 0.847 0.761 0.615
I 0.323 0.730 0.184
I 0.323 0.770 0.684
I 0.677 0.230 0.316
I 0.677 0.270 0.816
O 0.118 0.544 0.189
O 0.118 0.956 0.689
O 0.182 0.001 0.119
O 0.182 0.499 0.619
O 0.313 0.615 0.958
O 0.313 0.885 0.458
O 0.460 0.082 0.796
O 0.460 0.418 0.296
O 0.540 0.582 0.704
O 0.540 0.918 0.204
O 0.687 0.115 0.542
O 0.687 0.385 0.042
O 0.818 0.501 0.381
O 0.818 0.999 0.881
O 0.882 0.044 0.311
O 0.882 0.456 0.811
CELL_PARAMETERS angstrom
7.989 0.000 0.000
0.000 5.585 0.000
-1.876 0.000 7.810

2.
! Hg2IO5 | Alexandria | PBE | optimized geometry; values from VASP
! **D(E_F)**: 1.92 states/eV/cell
! **Spin magnetization**: 0.00 μB/cell
! **E above lowest polymorph**: 37 meV/atom
! **Formation energy without anion corrections**: -0.14 eV/atom
! **Space group**: P1
&SYSTEM
  ibrav = 0, nat = 8, ntyp = 3
/
ATOMIC_SPECIES
Hg 200.59 Hg.upf
I 126.90 I.upf
O 16.00 O.upf
ATOMIC_POSITIONS crystal
Hg 0.000 0.000 0.000
Hg 0.000 0.485 0.515
I 0.306 0.399 0.914
O 0.096 0.673 0.760
O 0.097 0.245 0.188
O 0.202 0.643 0.157
O 0.367 0.199 0.713
O 0.748 0.327 0.842
CELL_PARAMETERS angstrom
5.842 0.000 0.000
2.821 5.572 0.000
2.830 0.914 5.492

3.
! Hg4IO4 | Alexandria | PBE | optimized geometry; values from VASP
! **D(E_F)**: 3.17 states/eV/cell
! **Spin magnetization**: 0.00 μB/cell
! **Formation energy without anion corrections**: -0.05 eV/atom
! **Space group**: I4/mmm
&SYSTEM
  ibrav = 0, nat = 9, ntyp = 3
/
ATOMIC_SPECIES
Hg 200.59 Hg.upf
I 126.90 I.upf
O 16.00 O.upf
ATOMIC_POSITIONS crystal
Hg 0.000 0.269 0.269
Hg 0.000 0.731 0.731
Hg 0.269 0.000 0.269
Hg 0.731 0.000 0.731
I 0.500 0.500 0.000
O 0.204 0.500 0.704
O 0.500 0.204 0.704
O 0.500 0.796 0.296
O 0.796 0.500 0.296
CELL_PARAMETERS angstrom
-3.675 3.675 3.159
3.675 -3.675 3.159
3.675 3.675 -3.159

4.
! HgIO | Alexandria | PBE | optimized geometry; values from VASP
! **D(E_F)**: 1.25 states/eV/cell
! **Spin magnetization**: 0.00 μB/cell
! **Formation energy without anion corrections**: 0.02 eV/atom
! **Space group**: Pm
&SYSTEM
  ibrav = 0, nat = 3, ntyp = 3
/
ATOMIC_SPECIES
Hg 200.59 Hg.upf
I 126.90 I.upf
O 16.00 O.upf
ATOMIC_POSITIONS crystal
Hg 0.000 0.000 0.000
I 0.780 0.000 0.540
O 0.503 0.500 0.006
CELL_PARAMETERS angstrom
3.398 0.000 0.000
0.000 3.115 0.000
-1.579 0.000 7.968

5.
! HgIO4 | Alexandria | PBE | optimized geometry; values from VASP
! **D(E_F)**: 2.60 states/eV/cell
! **Spin magnetization**: 0.00 μB/cell
! **E above lowest polymorph**: 8 meV/atom
! **Formation energy without anion corrections**: -0.17 eV/atom
! **Space group**: P2_1/c
&SYSTEM
  ibrav = 0, nat = 12, ntyp = 3
/
ATOMIC_SPECIES
Hg 200.59 Hg.upf
I 126.90 I.upf
O 16.00 O.upf
ATOMIC_POSITIONS crystal
Hg 0.000 0.000 0.000
Hg 0.000 0.500 0.500
I 0.500 0.000 0.500
I 0.500 0.500 0.000
O 0.196 0.130 0.365
O 0.196 0.370 0.865
O 0.402 0.744 0.704
O 0.402 0.756 0.204
O 0.598 0.244 0.796
O 0.598 0.256 0.296
O 0.804 0.630 0.135
O 0.804 0.870 0.635
CELL_PARAMETERS angstrom
6.612 0.000 0.000
0.000 5.254 0.000
-2.235 0.000 5.298

6.
! Hg3IO | Alexandria | PBE | optimized geometry; values from VASP
! **D(E_F)**: 19.02 states/eV/cell
! **Spin magnetization**: 1.60 μB/cell
! **E above lowest polymorph**: 815 meV/atom
! **Formation energy without anion corrections**: 0.73 eV/atom
! **Space group**: Pm-3m
&SYSTEM
  ibrav = 0, nat = 5, ntyp = 3
/
ATOMIC_SPECIES
Hg 200.59 Hg.upf
I 126.90 I.upf
O 16.00 O.upf
ATOMIC_POSITIONS crystal
Hg 0.000 0.000 0.500
Hg 0.000 0.500 0.000
Hg 0.500 0.000 0.000
I 0.000 0.000 0.000
O 0.500 0.500 0.500
CELL_PARAMETERS angstrom
6.402 0.000 0.000
0.000 6.402 0.000
0.000 0.000 6.402

7.
! Hg3I2O2 | Alexandria | PBE | optimized geometry; values from VASP
! **Spin magnetization**: 0.00 μB/cell
! **E above lowest polymorph**: 0 meV/atom
! **Formation energy without anion corrections**: -0.26 eV/atom
! **Space group**: C2/m
&SYSTEM
  ibrav = 0, nat = 7, ntyp = 3
/
ATOMIC_SPECIES
Hg 200.59 Hg.upf
I 126.90 I.upf
O 16.00 O.upf
ATOMIC_POSITIONS crystal
Hg 0.000 0.000 0.000
Hg 0.260 0.260 0.841
Hg 0.740 0.740 0.159
I 0.398 0.398 0.639
I 0.602 0.602 0.361
O 0.167 0.167 0.023
O 0.833 0.833 0.977
CELL_PARAMETERS angstrom
6.157 -2.314 0.000
6.157 2.314 0.000
-1.419 0.000 8.570

8.
! HgIO3 | Alexandria | PBE | optimized geometry; values from VASP
! **D(E_F)**: 3.88 states/eV/cell
! **Spin magnetization**: 0.00 μB/cell
! **Formation energy without anion corrections**: 0.09 eV/atom
! **Space group**: Pm-3m
&SYSTEM
  ibrav = 0, nat = 5, ntyp = 3
/
ATOMIC_SPECIES
Hg 200.59 Hg.upf
I 126.90 I.upf
O 16.00 O.upf
ATOMIC_POSITIONS crystal
Hg 0.000 0.000 0.000
I 0.500 0.500 0.500
O 0.000 0.500 0.500
O 0.500 0.000 0.500
O 0.500 0.500 0.000
CELL_PARAMETERS angstrom
4.163 0.000 0.000
0.000 4.163 0.000
0.000 0.000 4.163

9.
! HgIO2 | Alexandria | PBE | optimized geometry; values from VASP
! **D(E_F)**: 1.70 states/eV/cell
! **Spin magnetization**: 0.00 μB/cell
! **E above lowest polymorph**: 0 meV/atom
! **Formation energy without anion corrections**: -0.13 eV/atom
! **Space group**: R-3m
&SYSTEM
  ibrav = 0, nat = 4, ntyp = 3
/
ATOMIC_SPECIES
Hg 200.59 Hg.upf
I 126.90 I.upf
O 16.00 O.upf
ATOMIC_POSITIONS crystal
Hg 0.000 0.000 0.000
I 0.500 0.500 0.500
O 0.394 0.394 0.394
O 0.606 0.606 0.606
CELL_PARAMETERS angstrom
1.788 1.032 6.548
-1.788 1.032 6.548
0.000 -2.064 6.548

10.
! HgIO3 | Alexandria | PBE | optimized geometry; values from VASP
! **D(E_F)**: 4.27 states/eV/cell
! **Spin magnetization**: 0.00 μB/cell
! **Formation energy without anion corrections**: -0.12 eV/atom
! **Space group**: C2/c
&SYSTEM
  ibrav = 0, nat = 20, ntyp = 3
/
ATOMIC_SPECIES
Hg 200.59 Hg.upf
I 126.90 I.upf
O 16.00 O.upf
ATOMIC_POSITIONS crystal
Hg 0.118 0.882 0.750
Hg 0.382 0.618 0.250
Hg 0.618 0.382 0.750
Hg 0.882 0.118 0.250
I 0.105 0.396 0.742
I 0.396 0.105 0.242
I 0.604 0.895 0.758
I 0.895 0.604 0.258
O 0.058 0.185 0.571
O 0.132 0.631 0.999
O 0.185 0.058 0.071
O 0.315 0.441 0.571
O 0.369 0.868 0.501
O 0.441 0.315 0.071
O 0.559 0.685 0.929
O 0.631 0.132 0.499
O 0.685 0.559 0.429
O 0.815 0.942 0.929
O 0.868 0.369 0.001
O 0.942 0.815 0.429
CELL_PARAMETERS angstrom
5.618 -5.637 0.000
5.618 5.637 0.000
-0.005 0.000 5.225

| no. | volume (Å³ per cell) |
| --- | --- |
| 1 | 348.5 |
| 2 | 178.8 |
| 3 | 170.6 |
| 4 | 84.4 |
| 5 | 184.1 |
| 6 | 262.4 |
| 7 | 244.2 |
| 8 | 72.2 |
| 9 | 72.5 |
| 10 | 331.0 |